Entry from Alexandria: a relaxed structure of CrGe2WF (GGA+U). Values from VASP.

Calculated volume in Å³/f.u.: 87.42
SG: P4/mmm
Final energy in eV/atom: -4.77

Geometry as Quantum ESPRESSO input:
```
&SYSTEM
  ibrav = 0, nat = 5, ntyp = 4
/
ATOMIC_SPECIES
Cr 52.00 Cr.upf
Ge 72.64 Ge.upf
W 183.84 W.upf
F 19.00 F.upf
ATOMIC_POSITIONS crystal
Cr 0.0000 0.0000 0.0000
Ge 0.0000 0.5000 0.5000
Ge 0.5000 0.0000 0.5000
W 0.5000 0.5000 0.0000
F 0.0000 0.0000 0.5000
CELL_PARAMETERS angstrom
4.7366 0.0000 0.0000
0.0000 4.7366 0.0000
0.0000 0.0000 3.8967
```